SrCdTe | meta-GGA SCAN | PBEsol geometry

The space group is I4mm (No. 107) and the conventional cell measures 4.069, 4.069 and 10.854 Å, with angles of 90.00, 90.00 and 90.00 degrees. The inequivalent atoms are Sr at (0.000, 0.000, 0.000), Cd at (0.000, 0.000, 0.683) and Te at (0.000, 0.000, 0.326).

The calculation puts the uncorrected formation energy at -2.5 eV per formula unit. The theoretical density is 6.1 g/cm³. The volume is 30.0 Å³ per atom.

=====

IrAu2SeI | meta-GGA SCAN | PBEsol geometry

The space group is P4/mmm (No. 123) and the conventional cell measures 5.093, 5.093 and 4.910 Å, with angles of 90.00, 90.00 and 90.00 degrees. The inequivalent atoms are Ir at (0.000, 0.000, 0.000), Au at (0.000, 0.500, 0.500), Se at (0.500, 0.500, 0.000) and I at (0.000, 0.000, 0.500).

The calculation puts the uncorrected formation energy at 7.8 eV per formula unit. The theoretical density is 10.3 g/cm³. The volume is 25.5 Å³ per atom.

=====

NaMnTl2F | meta-GGA SCAN | PBEsol geometry

The space group is P4/mmm (No. 123) and the conventional cell measures 5.596, 5.596 and 3.843 Å, with angles of 90.00, 90.00 and 90.00 degrees. The inequivalent atoms are Na at (0.000, 0.000, 0.000), Mn at (0.500, 0.500, 0.000), Tl at (0.000, 0.500, 0.500) and F at (0.500, 0.500, 0.500).

The calculation puts the uncorrected formation energy at -2.8 eV per formula unit. The theoretical density is 7.0 g/cm³. The volume is 24.1 Å³ per atom.

=====

BaIn2Br | meta-GGA SCAN | PBEsol geometry

The space group is Fm-3m (No. 225) and the conventional cell measures 7.992, 7.992 and 7.992 Å, with angles of 90.00, 90.00 and 90.00 degrees. The inequivalent atoms are Ba at (0.000, 0.000, 0.000), In at (0.250, 0.250, 0.250) and Br at (0.000, 0.000, 0.500).

The calculation puts the uncorrected formation energy at -1.1 eV per formula unit. The theoretical density is 5.8 g/cm³. For the energy above the most stable polymorph in this dataset, the calculation gives 516 meV per atom. The volume is 31.9 Å³ per atom.

=====

TlTeOsBr2 | meta-GGA SCAN | PBEsol geometry

The space group is P4/mmm (No. 123) and the conventional cell measures 5.776, 5.776 and 4.886 Å, with angles of 90.00, 90.00 and 90.00 degrees. The inequivalent atoms are Tl at (0.000, 0.000, 0.000), Te at (0.500, 0.500, 0.500), Os at (0.500, 0.500, 0.000) and Br at (0.000, 0.500, 0.500).

The calculation puts the uncorrected formation energy at 3.3 eV per formula unit. The theoretical density is 6.9 g/cm³. The volume is 32.6 Å³ per atom.

=====

RbNiO2 | meta-GGA SCAN | PBEsol geometry

The space group is Fm-3m (No. 225) and the conventional cell measures 5.910, 5.910 and 5.910 Å, with angles of 90.00, 90.00 and 90.00 degrees. The inequivalent atoms are Rb at (0.000, 0.000, 0.000), Ni at (0.000, 0.000, 0.500) and O at (0.250, 0.250, 0.250).

The calculation puts the uncorrected formation energy at 0.4 eV per formula unit. The theoretical density is 5.7 g/cm³. The volume is 12.9 Å³ per atom.

=====

Which formula does entry 2 have?
IrAu2SeI